## ReC2 (GGA-PBE)

Data for ReC2 after structural relaxation.

Computed properties:
ΔE to the lowest computed polymorph   0.2550 eV/atom
Energy   -57.622 eV/cell
SG   P1
Spin magnetization   0.00 μB per cell

a b c (Å): 2.9210 4.3144 5.2029
angles (deg): 105.52 105.95 95.50
Element x y z (fractional)
C  0.2945  0.8724  0.9280
Re  0.8805  0.1642  0.6604
Re  0.6422  0.3457  0.1651
C  0.3582  0.7845  0.6518
C  0.1164  0.5843  0.9976
C  0.3329  0.4429  0.5033



## Eu2PbN (GGA-PBE)

Data for Eu2PbN after structural relaxation.

Computed properties:
Raw formation energy   -0.476 eV per atom
Energy   -34.488 eV/cell
SG   P4/mmm
Spin magnetization   13.64 μB per cell

a b c (Å): 3.2529 3.2529 8.4969
angles (deg): 90.00 90.00 90.00
Element x y z (fractional)
Eu  0.0000  0.0000  0.1668
Pb  0.5000  0.5000  0.5000
N  0.5000  0.5000  0.0000
Eu  0.0000  0.0000  0.8332



## BeCoS2 (GGA-PBE)

Data for BeCoS2 after structural relaxation.

Computed properties:
Raw formation energy   -0.192 eV per atom
Energy   -19.853 eV/cell
SG   R-3m
Spin magnetization   0.00 μB per cell

a b c (Å): 6.4983 6.4983 6.4983
angles (deg): 30.40 30.40 30.40
Element x y z (fractional)
S  0.1044  0.1044  0.1044
S  0.8956  0.8956  0.8956
Be  0.0000  0.0000  0.0000
Co  0.5000  0.5000  0.5000